Record 1
5
Lattice="-4.836 1.306 0.005 -1.234 -4.565 -1.651 -0.426 -1.596 4.729" Properties=species:S:1:pos:R:3 comment="CsYRh3 | Alexandria | GGA-PBEsol | relaxed" spacegroup="Pm-3m (221)" delta_e_f_ev_per_atom=1.088 pbc="T T T"
Rh -0.213 -0.798 2.365
Rh -2.418 0.653 0.003
Cs -3.248 -2.428 1.541
Rh -0.617 -2.283 -0.826
Y 0.000 0.000 0.000


Record 2
5
Lattice="4.683 0.000 0.000 0.000 4.683 0.000 0.000 0.000 4.683" Properties=species:S:1:pos:R:3 comment="CsZnRh3 | Alexandria | GGA-PBEsol | relaxed" spacegroup="Pm-3m (221)" delta_e_f_ev_per_atom=1.129 pbc="T T T"
Rh 0.000 0.000 2.342
Cs 2.342 2.342 2.342
Zn 0.000 0.000 0.000
Rh 0.000 2.342 0.000
Rh 2.342 0.000 0.000


Record 3
4
Lattice="4.967 0.000 0.000 2.483 4.301 0.000 2.483 1.434 4.055" Properties=species:S:1:pos:R:3 comment="CsZn2Rh | Alexandria | GGA-PBEsol | relaxed" spacegroup="Fm-3m (225)" delta_e_f_ev_per_atom=0.834 pbc="T T T"
Zn 7.450 4.301 3.041
Cs 4.967 2.867 2.028
Rh 0.000 0.000 0.000
Zn 2.483 1.434 1.014


no.,V (Å³/atom),calculated density (kg/m³),DOS(E_F) (states/eV per atom)
1,25.14,7009,1.483
2,20.54,8197,2.058
3,21.66,7028,0.585